# 1
The following is a DFT calculation (GGA-PBE) of a relaxed HfSi2HgSb crystal.

CIF file:
```
data_HfSi2HgSb
_chemical_formula_sum 'Hf1 Si2 Hg1 Sb1'
_cell_length_a 4.846
_cell_length_b 5.586
_cell_length_c 4.846
_cell_angle_alpha 90.00
_cell_angle_beta 90.00
_cell_angle_gamma 90.00
_symmetry_space_group_name_H-M 'P 1'
_symmetry_Int_Tables_number 1
_symmetry_space_group_name_Hall 'P 1'
loop_
_atom_site_label
_atom_site_type_symbol
_atom_site_fract_x
_atom_site_fract_y
_atom_site_fract_z
Sb1 Sb 0.000 0.500 0.000
Si1 Si 0.000 0.000 0.500
Si2 Si 0.500 0.000 0.000
Hf1 Hf 0.500 0.500 0.500
Hg1 Hg 0.000 0.000 0.000
```

Calculated values
E_form (uncorrected) = 1.2346 eV per atom
calculated total energy = -3.81 eV per atom
total moment = 0.0 Bohr magnetons per cell
space-group type = P4/mmm (123)

=====

# 2
The following is a DFT calculation (GGA-PBE) of a relaxed Er7Ir2Rh2 crystal.

CIF file:
```
data_Er7Ir2Rh2
_chemical_formula_sum 'Er7 Ir2 Rh2'
_cell_length_a 6.566
_cell_length_b 6.759
_cell_length_c 6.566
_cell_angle_alpha 90.05
_cell_angle_beta 100.84
_cell_angle_gamma 89.95
_symmetry_space_group_name_H-M 'P 1'
_symmetry_Int_Tables_number 1
_symmetry_space_group_name_Hall 'P 1'
loop_
_atom_site_label
_atom_site_type_symbol
_atom_site_fract_x
_atom_site_fract_y
_atom_site_fract_z
Er1 Er 0.000 0.261 0.500
Er2 Er 0.500 0.739 0.000
Er3 Er 0.000 0.739 0.500
Er4 Er 0.500 0.261 0.000
Er5 Er 0.000 0.000 0.000
Er6 Er 0.500 0.741 0.500
Er7 Er 0.500 0.259 0.500
Ir1 Ir 0.723 0.000 0.277
Ir2 Ir 0.277 0.000 0.723
Rh1 Rh 0.778 0.500 0.778
Rh2 Rh 0.222 0.500 0.222
```

Calculated values
calculated total energy = -6.42 eV per atom
E_form = -0.56 eV/atom
total moment = 0.0 Bohr magnetons per cell
space-group type = C2/m (12)

=====

# 3
The following is a DFT calculation (GGA-PBE) of a relaxed TaTc4Mo crystal.

CIF file:
```
data_TaTc4Mo
_chemical_formula_sum 'Ta1 Tc4 Mo1'
_cell_length_a 5.121
_cell_length_b 5.121
_cell_length_c 5.121
_cell_angle_alpha 60.00
_cell_angle_beta 60.00
_cell_angle_gamma 60.00
_symmetry_space_group_name_H-M 'P 1'
_symmetry_Int_Tables_number 1
_symmetry_space_group_name_Hall 'P 1'
loop_
_atom_site_label
_atom_site_type_symbol
_atom_site_fract_x
_atom_site_fract_y
_atom_site_fract_z
Ta1 Ta 0.000 0.000 0.000
Tc1 Tc 0.877 0.374 0.374
Tc2 Tc 0.374 0.374 0.877
Tc3 Tc 0.374 0.877 0.374
Tc4 Tc 0.374 0.374 0.374
Mo1 Mo 0.750 0.750 0.750
```

Calculated values
calculated total energy = -10.64 eV per atom
E_form = 0.05 eV/atom
total moment = 0.0 Bohr magnetons per cell
space-group type = F-43m (216)

=====

# 4
The following is a DFT calculation (GGA-PBE) of a relaxed CrSb2P crystal.

CIF file:
```
data_CrSb2P
_chemical_formula_sum 'Cr1 Sb2 P1'
_cell_length_a 3.433
_cell_length_b 3.448
_cell_length_c 7.575
_cell_angle_alpha 62.71
_cell_angle_beta 90.00
_cell_angle_gamma 90.00
_symmetry_space_group_name_H-M 'P 1'
_symmetry_Int_Tables_number 1
_symmetry_space_group_name_Hall 'P 1'
loop_
_atom_site_label
_atom_site_type_symbol
_atom_site_fract_x
_atom_site_fract_y
_atom_site_fract_z
Cr1 Cr 0.500 0.250 0.250
P1 P 0.500 0.750 0.750
Sb1 Sb 0.000 0.986 0.016
Sb2 Sb 0.000 0.514 0.484
```

Calculated values
E_form (uncorrected) = 0.4533 eV per atom
calculated total energy = -5.37 eV per atom
total moment = 2.8 Bohr magnetons per cell
space-group type = P2/m (10)

=====

# 5
The following is a DFT calculation (GGA-PBE) of a relaxed In2OsAu crystal.

CIF file:
```
data_In2OsAu
_chemical_formula_sum 'In2 Os1 Au1'
_cell_length_a 3.094
_cell_length_b 3.094
_cell_length_c 9.260
_cell_angle_alpha 90.00
_cell_angle_beta 90.00
_cell_angle_gamma 119.32
_symmetry_space_group_name_H-M 'P 1'
_symmetry_Int_Tables_number 1
_symmetry_space_group_name_Hall 'P 1'
loop_
_atom_site_label
_atom_site_type_symbol
_atom_site_fract_x
_atom_site_fract_y
_atom_site_fract_z
Au1 Au 0.500 0.500 0.750
In1 In 0.000 0.000 0.011
In2 In 0.000 0.000 0.489
Os1 Os 0.500 0.500 0.250
```

Calculated values
calculated total energy = -4.57 eV per atom
E_form = 0.42 eV/atom
total moment = 0.0 Bohr magnetons per cell
space-group type = Cmmm (65)

=====

# 6
The following is a DFT calculation (GGA-PBE) of a relaxed AlNiCl4 crystal.

CIF file:
```
data_AlNiCl4
_chemical_formula_sum 'Al1 Ni1 Cl4'
_cell_length_a 5.927
_cell_length_b 5.927
_cell_length_c 5.927
_cell_angle_alpha 60.00
_cell_angle_beta 60.00
_cell_angle_gamma 60.00
_symmetry_space_group_name_H-M 'P 1'
_symmetry_Int_Tables_number 1
_symmetry_space_group_name_Hall 'P 1'
loop_
_atom_site_label
_atom_site_type_symbol
_atom_site_fract_x
_atom_site_fract_y
_atom_site_fract_z
Al1 Al 0.000 0.000 0.000
Ni1 Ni 0.750 0.750 0.750
Cl1 Cl 0.875 0.375 0.375
Cl2 Cl 0.375 0.375 0.875
Cl3 Cl 0.375 0.875 0.375
Cl4 Cl 0.375 0.375 0.375
```

Calculated values
E_form (uncorrected) = 0.8105 eV per atom
calculated total energy = -2.01 eV per atom
total moment = 3.1 Bohr magnetons per cell
space-group type = F-43m (216)